(1)
This record from the Alexandria database describes a relaxed structure of YSc2Si2. The functional is PBE-GGA.

Values from the calculation:
Polymorph energy (0 for the lowest one) = 2.19 eV per formula unit
Total magnetic moment = 0.00 μB per formula unit
Formation energy from raw total energies = -210 meV per atom

Unit cell a=4.915 b=4.915 c=9.797 alpha=90.00 beta=90.00 gamma=90.00
Space group I4/mmm (No. 139)
Symmetry-distinct sites (fractional):
Y: 0.000 0.000 0.000 x2
Sc: 0.000 0.000 0.336 x4
Si: 0.000 0.500 0.250 x4

(2)
This record from the Alexandria database describes a relaxed structure of Y2ScSi. The functional is PBE-GGA.

Values from the calculation:
Total magnetic moment = 0.00 μB per formula unit
Formation energy from raw total energies = 2 meV per atom

Unit cell a=8.388 b=8.388 c=5.988 alpha=90.00 beta=90.00 gamma=90.00
Space group I-42d (No. 122)
Symmetry-distinct sites (fractional):
Y: 0.201 0.250 0.125 x8
Sc: 0.000 0.000 0.500 x4
Si: 0.000 0.000 0.000 x4

(3)
This record from the Alexandria database describes a relaxed structure of Y2ScSi. The functional is PBE-GGA.

Values from the calculation:
Total magnetic moment = 0.35 μB per formula unit
Formation energy from raw total energies = -261 meV per atom

Unit cell a=3.520 b=3.520 c=8.127 alpha=90.00 beta=90.00 gamma=90.00
Space group P4mm (No. 99)
Symmetry-distinct sites (fractional):
Y: 0.000 0.000 0.000 x1
Y: 0.500 0.500 0.328 x1
Sc: 0.000 0.000 0.607 x1
Si: 0.500 0.500 0.778 x1

(4)
This record from the Alexandria database describes a relaxed structure of YScSi2. The functional is PBE-GGA.

Values from the calculation:
Polymorph energy (0 for the lowest one) = 2.08 eV per formula unit
Total magnetic moment = 0.00 μB per formula unit
Formation energy from raw total energies = -292 meV per atom

Unit cell a=7.438 b=7.438 c=6.308 alpha=90.00 beta=90.00 gamma=90.00
Space group I-42d (No. 122)
Symmetry-distinct sites (fractional):
Y: 0.000 0.000 0.000 x4
Sc: 0.000 0.000 0.500 x4
Si: 0.234 0.250 0.625 x8

(5)
This record from the Alexandria database describes a relaxed structure of Y3ScSi2. The functional is PBE-GGA.

Values from the calculation:
Total magnetic moment = 0.00 μB per formula unit
Formation energy from raw total energies = -601 meV per atom

Unit cell a=4.238 b=4.337 c=15.663 alpha=90.00 beta=90.00 gamma=90.00
Space group Immm (No. 71)
Symmetry-distinct sites (fractional):
Y: 0.000 0.000 0.000 x2
Y: 0.000 0.500 0.321 x4
Sc: 0.000 0.000 0.500 x2
Si: 0.000 0.500 0.132 x4

(6)
This record from the Alexandria database describes a relaxed structure of YScSi2. The functional is PBE-GGA.

Values from the calculation:
Polymorph energy (0 for the lowest one) = 1.69 eV per formula unit
Total magnetic moment = 0.00 μB per formula unit
Formation energy from raw total energies = -390 meV per atom

Unit cell a=6.870 b=6.870 c=6.870 alpha=90.00 beta=90.00 gamma=90.00
Space group Fm-3m (No. 225)
Symmetry-distinct sites (fractional):
Y: 0.000 0.000 0.000 x4
Sc: 0.000 0.000 0.500 x4
Si: 0.250 0.250 0.250 x8

(7)
This record from the Alexandria database describes a relaxed structure of YScSi2. The functional is PBE-GGA.

Values from the calculation:
Polymorph energy (0 for the lowest one) = 1.11 eV per formula unit
Total magnetic moment = 0.00 μB per formula unit
Formation energy from raw total energies = -534 meV per atom

Unit cell a=3.258 b=3.886 c=6.195 alpha=90.00 beta=90.00 gamma=90.00
Space group Pmmm (No. 47)
Symmetry-distinct sites (fractional):
Y: 0.000 0.000 0.000 x1
Sc: 0.000 0.000 0.500 x1
Si: 0.500 0.500 0.294 x2

(8)
This record from the Alexandria database describes a relaxed structure of Y2ScSi. The functional is PBE-GGA.

Values from the calculation:
Total magnetic moment = 0.00 μB per formula unit
Formation energy from raw total energies = -140 meV per atom

Unit cell a=6.568 b=8.686 c=3.416 alpha=90.00 beta=90.00 gamma=90.00
Space group Cmmm (No. 65)
Symmetry-distinct sites (fractional):
Y: 0.250 0.250 0.000 x4
Sc: 0.000 0.000 0.500 x2
Si: 0.000 0.500 0.500 x2